InSb2Cl: single point on PBEsol structure, SCAN.

Cell: 8.094 8.094 8.094 Å, 30.38 30.38 30.38°
Positions (direct):
In 0.000 0.000 0.000
Sb 0.240 0.240 0.240
Sb 0.506 0.506 0.506
Cl 0.730 0.730 0.730

Crystal system: trigonal
Space group: R3m
Electronic total energy, eV per atom: -29.320
ΔE_f (raw), kcal/mol of atoms: -8.0


InSb2TeCl: single point on PBEsol structure, SCAN.

Cell: 5.259 5.259 5.522 Å, 90.00 90.00 90.00°
Positions (direct):
In 0.000 0.000 0.000
Sb 0.000 0.500 0.500
Sb 0.500 0.000 0.500
Te 0.500 0.500 0.000
Cl 0.500 0.500 0.500

Crystal system: tetragonal
Space group: P4/mmm
Electronic total energy, eV per atom: -29.933
ΔE_f (raw), kcal/mol of atoms: 16.0


InSeCl2: single point on PBEsol structure, SCAN.

Cell: 5.359 5.359 5.359 Å, 132.10 132.10 70.06°
Positions (direct):
In 0.000 0.000 0.000
Se 0.500 0.500 0.000
Cl 0.250 0.750 0.500
Cl 0.750 0.250 0.500

Crystal system: tetragonal
Space group: I4/mmm
Electronic total energy, eV per atom: -17.343
ΔE_f (raw), kcal/mol of atoms: 0.3
Energy above the lowest structure with this stoichiometry, eV/atom: 0.6201


InSe2Cl: single point on PBEsol structure, SCAN.

Cell: 3.874 3.874 6.193 Å, 90.00 90.00 90.00°
Positions (direct):
In 0.000 0.000 0.000
Se 0.000 0.500 0.500
Se 0.500 0.000 0.500
Cl 0.500 0.500 0.000

Crystal system: tetragonal
Space group: P4/mmm
Electronic total energy, eV per atom: -20.588
ΔE_f (raw), kcal/mol of atoms: -4.8
Energy above the lowest structure with this stoichiometry, eV/atom: 0.4097


InSeCl2: single point on PBEsol structure, SCAN.

Cell: 6.617 6.617 3.416 Å, 90.00 90.00 131.34°
Positions (direct):
In 0.000 0.000 0.000
Se 0.500 0.500 0.000
Cl 0.152 0.848 0.500
Cl 0.848 0.152 0.500

Crystal system: orthorhombic
Space group: Cmmm
Electronic total energy, eV per atom: -17.963
ΔE_f (raw), kcal/mol of atoms: -14.0
Energy above the lowest structure with this stoichiometry, eV/atom: 0.0000


In2SeCl2: single point on PBEsol structure, SCAN.

Cell: 6.037 6.037 6.037 Å, 129.32 129.32 74.50°
Positions (direct):
In 0.250 0.750 0.500
In 0.750 0.250 0.500
Se 0.000 0.000 0.000
Cl 0.347 0.347 0.000
Cl 0.653 0.653 0.000

Crystal system: tetragonal
Space group: I4/mmm
Electronic total energy, eV per atom: -20.810
ΔE_f (raw), kcal/mol of atoms: -5.7


InSeCl2: single point on PBEsol structure, SCAN.

Cell: 9.585 9.585 9.585 Å, 20.49 20.49 20.49°
Positions (direct):
In 0.000 0.000 0.000
Se 0.500 0.500 0.500
Cl 0.416 0.416 0.416
Cl 0.584 0.584 0.584

Crystal system: trigonal
Space group: R-3m
Electronic total energy, eV per atom: -17.610
ΔE_f (raw), kcal/mol of atoms: -5.9
Energy above the lowest structure with this stoichiometry, eV/atom: 0.3530


InSeCl2: single point on PBEsol structure, SCAN.

Cell: 5.129 5.129 3.310 Å, 90.00 90.00 92.08°
Positions (direct):
In 0.000 0.000 0.000
Se 0.500 0.500 0.000
Cl 0.000 0.500 0.500
Cl 0.500 0.000 0.500

Crystal system: orthorhombic
Space group: Cmmm
Electronic total energy, eV per atom: -17.303
ΔE_f (raw), kcal/mol of atoms: 1.2
Energy above the lowest structure with this stoichiometry, eV/atom: 0.6598


InSeCl2: single point on PBEsol structure, SCAN.

Cell: 3.242 4.207 6.142 Å, 90.00 90.00 90.00°
Positions (direct):
In 0.000 0.000 0.000
Se 0.000 0.000 0.500
Cl 0.500 0.500 0.247
Cl 0.500 0.500 0.753

Crystal system: orthorhombic
Space group: Pmmm
Electronic total energy, eV per atom: -17.313
ΔE_f (raw), kcal/mol of atoms: 1.0
Energy above the lowest structure with this stoichiometry, eV/atom: 0.6498


InSeCl: single point on PBEsol structure, SCAN.

Cell: 4.720 4.720 4.720 Å, 60.00 60.00 60.00°
Positions (direct):
In 0.000 0.000 0.000
Se 0.250 0.250 0.250
Cl 0.500 0.500 0.500

Crystal system: cubic
Space group: F-43m
Electronic total energy, eV per atom: -20.704
ΔE_f (raw), kcal/mol of atoms: -5.1


InSe2Cl: single point on PBEsol structure, SCAN.

Cell: 7.094 7.094 7.094 Å, 32.72 32.72 32.72°
Positions (direct):
In 0.000 0.000 0.000
Se 0.260 0.260 0.260
Se 0.740 0.740 0.740
Cl 0.500 0.500 0.500

Crystal system: trigonal
Space group: R-3m
Electronic total energy, eV per atom: -20.518
ΔE_f (raw), kcal/mol of atoms: -3.2
Energy above the lowest structure with this stoichiometry, eV/atom: 0.4800


InSeCl: single point on PBEsol structure, SCAN.

Cell: 3.889 3.889 6.116 Å, 90.00 90.00 120.00°
Positions (direct):
In 0.000 0.000 0.000
Se 0.667 0.333 0.781
Cl 0.333 0.667 0.269

Crystal system: trigonal
Space group: P3m1
Electronic total energy, eV per atom: -21.347
ΔE_f (raw), kcal/mol of atoms: -20.0


InSe2Cl: single point on PBEsol structure, SCAN.

Cell: 5.076 3.920 5.278 Å, 90.00 108.11 90.00°
Positions (direct):
In 0.000 0.000 0.000
Se 0.396 0.500 0.171
Se 0.604 0.500 0.829
Cl 0.000 0.000 0.500

Crystal system: monoclinic
Space group: P2/m
Electronic total energy, eV per atom: -20.998
ΔE_f (raw), kcal/mol of atoms: -14.2
Energy above the lowest structure with this stoichiometry, eV/atom: 0.0000


InSiCl3: single point on PBEsol structure, SCAN.

Cell: 5.135 5.135 5.135 Å, 90.00 90.00 90.00°
Positions (direct):
In 0.000 0.000 0.000
Si 0.500 0.500 0.500
Cl 0.000 0.000 0.500
Cl 0.000 0.500 0.000
Cl 0.500 0.000 0.000

Crystal system: cubic
Space group: Pm-3m
Electronic total energy, eV per atom: -13.543
ΔE_f (raw), kcal/mol of atoms: -1.7


In2SiCl: single point on PBEsol structure, SCAN.

Cell: 6.580 6.580 6.580 Å, 152.18 137.14 51.88°
Positions (direct):
In 0.000 0.000 0.000
In 0.772 0.272 0.500
Si 0.202 0.702 0.500
Cl 0.499 0.499 0.000

Crystal system: orthorhombic
Space group: Imm2
Electronic total energy, eV per atom: -21.171
ΔE_f (raw), kcal/mol of atoms: 0.5
Energy above the lowest structure with this stoichiometry, eV/atom: 0.1460


InSiCl2: single point on PBEsol structure, SCAN.

Cell: 5.651 5.651 5.651 Å, 144.24 121.99 70.05°
Positions (direct):
In 0.000 0.000 0.000
Si 0.500 0.500 0.000
Cl 0.300 0.800 0.500
Cl 0.700 0.200 0.500

Crystal system: orthorhombic
Space group: Immm
Electronic total energy, eV per atom: -15.113
ΔE_f (raw), kcal/mol of atoms: -6.3
Energy above the lowest structure with this stoichiometry, eV/atom: 0.0000


In2SiCl: single point on PBEsol structure, SCAN.

Cell: 3.527 4.628 5.644 Å, 90.00 90.00 90.00°
Positions (direct):
In 0.000 0.000 0.000
In 0.500 0.500 0.500
Si 0.000 0.000 0.500
Cl 0.500 0.500 0.000

Crystal system: orthorhombic
Space group: Pmmm
Electronic total energy, eV per atom: -21.317
ΔE_f (raw), kcal/mol of atoms: -2.9
Energy above the lowest structure with this stoichiometry, eV/atom: 0.0000


InSiCl2: single point on PBEsol structure, SCAN.

Cell: 4.879 4.879 4.879 Å, 60.00 60.00 60.00°
Positions (direct):
In 0.000 0.000 0.000
Si 0.750 0.750 0.750
Cl 0.250 0.250 0.250
Cl 0.500 0.500 0.500

Crystal system: cubic
Space group: F-43m
Electronic total energy, eV per atom: -14.669
ΔE_f (raw), kcal/mol of atoms: 3.9
Energy above the lowest structure with this stoichiometry, eV/atom: 0.4438


InSiCl2: single point on PBEsol structure, SCAN.

Cell: 7.158 7.158 7.158 Å, 152.49 146.09 44.21°
Positions (direct):
In 0.000 0.000 0.000
Si 0.825 0.325 0.500
Cl 0.312 0.812 0.500
Cl 0.588 0.588 0.000

Crystal system: orthorhombic
Space group: Imm2
Electronic total energy, eV per atom: -14.998
ΔE_f (raw), kcal/mol of atoms: -3.7
Energy above the lowest structure with this stoichiometry, eV/atom: 0.1146


In2SiCl: single point on PBEsol structure, SCAN.

Cell: 3.404 3.404 7.614 Å, 90.00 90.00 90.00°
Positions (direct):
In 0.000 0.000 0.228
In 0.000 0.000 0.772
Si 0.500 0.500 0.000
Cl 0.500 0.500 0.500

Crystal system: tetragonal
Space group: P4/mmm
Electronic total energy, eV per atom: -21.125
ΔE_f (raw), kcal/mol of atoms: 1.5
Energy above the lowest structure with this stoichiometry, eV/atom: 0.1926